Entry 1:
# La5Mg4Cd4

Crystalline La5Mg4Cd4 at its relaxed geometry (PBE, the Alexandria database).

Properties
Calculated formation energy: -2.7 eV per formula unit

a b c (Å): 12.5127 12.5127 4.8467
angles (deg): 90.00 90.00 90.00
Closest atoms and distances in Å follow each position.
Space group I4/m (No. 87)
Inequivalent atoms, fractional coordinates:
La: 0.0000 0.0000 0.0000 [2 per cell]  4 Cd 3.29
La: 0.1351 0.2062 0.5000 [8 per cell]  5 Cd 3.29-3.45, 2 Mg 3.53-3.66
Mg: 0.0733 0.6040 0.5000 [8 per cell]  3 Cd 2.90-2.99, 1 Mg 3.18
Cd: 0.0540 0.7428 0.0000 [8 per cell]  3 Mg 2.90-2.99



Entry 2:
# ScFePdAu2

Crystalline ScFePdAu2 at its relaxed geometry (PBE, the Alexandria database).

Properties
Calculated formation energy: 3.2 eV per formula unit

a b c (Å): 5.0728 5.0728 4.6554
angles (deg): 90.00 90.00 90.00
Closest atoms and distances in Å follow each position.
Space group P4/mmm (No. 123)
Inequivalent atoms, fractional coordinates:
Sc: 0.0000 0.0000 0.0000 [1 per cell]  2 Pd 2.33
Fe: 0.5000 0.5000 0.0000 [1 per cell]  8 Au 3.44, 4 Sc 3.59
Pd: 0.0000 0.0000 0.5000 [1 per cell]  2 Sc 2.33, 4 Au 2.54
Au: 0.0000 0.5000 0.5000 [2 per cell]  2 Pd 2.54



Entry 3:
# Tc4Mo5

Crystalline Tc4Mo5 at its relaxed geometry (PBE, the Alexandria database).

Properties
Energy relative to the lowest polymorph listed for this composition: 1.27 eV/f.u.
Calculated formation energy: 2.1 eV per formula unit

a b c (Å): 7.8605 7.8605 5.2269
angles (deg): 90.00 90.00 120.00
Closest atoms and distances in Å follow each position.
Space group P6_3/mcm (No. 193)
Inequivalent atoms, fractional coordinates:
Tc: 0.0000 0.0000 0.0000 [2 per cell]  2 Tc 2.61, 6 Mo 2.68
Tc: 0.0000 0.3767 0.2500 [6 per cell]  9 Mo 2.56-2.79
Mo: 0.0000 0.2976 0.7500 [6 per cell]  7 Tc 2.56-2.70
Mo: 0.3333 0.6667 0.0000 [4 per cell]  2 Mo 2.61, 6 Tc 2.79



Entry 4:
# Mg6Cd8Rh

Crystalline Mg6Cd8Rh at its relaxed geometry (PBE, the Alexandria database).

Properties
Calculated formation energy: -1.1 eV per formula unit

a b c (Å): 5.4724 5.4724 36.2091
angles (deg): 90.00 90.00 120.00
Closest atoms and distances in Å follow each position.
Space group R-3 (No. 148, hexagonal axes)
Inequivalent atoms, fractional coordinates:
Mg: 0.0000 0.3183 0.0628 [18 per cell]  1 Rh 2.86, 5 Cd 2.94-3.12, 2 Mg 3.02
Cd: 0.0000 0.0000 0.3333 [6 per cell]  6 Mg 2.94, 3 Rh 3.16, 3 Cd 3.16
Cd: 0.0003 0.3360 0.8687 [18 per cell]  3 Mg 3.06-3.12, 9 Cd 3.14-3.18
Rh: 0.0000 0.0000 0.0000 [3 per cell]  6 Mg 2.86, 6 Cd 3.16